# 1
# Cr2CdSe (GGA-PBE, relaxed)
# Energy relative to the elements, uncorrected, eV per atom: 0.422
# Energy above the lowest structure with this stoichiometry, meV/atom: 254
# M_tot, μB/atom: 1.9728
# VASP energy, eV for the cell shown: -43.92
data_Cr2CdSe
_symmetry_space_group_name_H-M 'I m m m'
_symmetry_Int_Tables_number 71
_symmetry_space_group_name_Hall '-I 2 2'
_cell_length_a 3.5257
_cell_length_b 5.1060
_cell_length_c 8.5694
_cell_angle_alpha 90.00
_cell_angle_beta 90.00
_cell_angle_gamma 90.00
loop_
_atom_site_label
_atom_site_fract_x
_atom_site_fract_y
_atom_site_fract_z
Cr1 0.0000 0.0000 0.2190
Cd1 0.0000 0.5000 0.0000
Se1 0.0000 0.5000 0.5000

=====

# 2
# Al2ReW (GGA-PBE, relaxed)
# Energy above the lowest structure with this stoichiometry, meV/atom: 223
# M_tot, μB/atom: 0.0000
# VASP energy, eV for the cell shown: -33.02
# Energy of formation from the pure elements, eV/atom: -0.034
data_Al2ReW
_symmetry_space_group_name_H-M 'P m m m'
_symmetry_Int_Tables_number 47
_cell_length_a 3.1265
_cell_length_b 4.3129
_cell_length_c 4.4653
_cell_angle_alpha 90.00
_cell_angle_beta 90.00
_cell_angle_gamma 90.00
loop_
_symmetry_equiv_pos_as_xyz
'x,y,z'
'-x,-y,-z'
'-x,-y,z'
'x,y,-z'
'x,-y,-z'
'-x,y,z'
'-x,y,-z'
'x,-y,z'
loop_
_atom_site_label
_atom_site_fract_x
_atom_site_fract_y
_atom_site_fract_z
Al1 0.0000 0.0000 0.0000
Al2 0.5000 0.0000 0.5000
Re1 0.0000 0.5000 0.5000
W1 0.5000 0.5000 0.0000

=====

# 3
# LiCeSnGe (GGA-PBE, relaxed)
# M_tot, μB/atom: 0.1046
# VASP energy, eV for the cell shown: -72.51
# Energy of formation from the pure elements, eV/atom: -0.415
data_LiCeSnGe
_symmetry_space_group_name_H-M 'F -4 3 m'
_symmetry_Int_Tables_number 216
_symmetry_space_group_name_Hall 'F -4 2 3'
_cell_length_a 7.1590
_cell_length_b 7.1590
_cell_length_c 7.1590
_cell_angle_alpha 90.00
_cell_angle_beta 90.00
_cell_angle_gamma 90.00
loop_
_atom_site_label
_atom_site_fract_x
_atom_site_fract_y
_atom_site_fract_z
Li1 0.0000 0.0000 0.0000
Ce1 0.0000 0.0000 0.5000
Sn1 0.2500 0.2500 0.7500
Ge1 0.2500 0.2500 0.2500

=====

# 4
# Ca3YSi (GGA-PBE, relaxed)
# Energy relative to the elements, uncorrected, eV per atom: 0.096
# Energy above the lowest structure with this stoichiometry, meV/atom: 0
# M_tot, μB/atom: 0.0002
# VASP energy, eV for the cell shown: -17.41
data_Ca3YSi
_symmetry_space_group_name_H-M 'P m -3 m'
_symmetry_Int_Tables_number 221
_symmetry_space_group_name_Hall '-P 4 2 3'
_cell_length_a 5.6960
_cell_length_b 5.6960
_cell_length_c 5.6960
_cell_angle_alpha 90.00
_cell_angle_beta 90.00
_cell_angle_gamma 90.00
loop_
_atom_site_label
_atom_site_fract_x
_atom_site_fract_y
_atom_site_fract_z
Ca1 0.0000 0.0000 0.5000
Y1 0.5000 0.5000 0.5000
Si1 0.0000 0.0000 0.0000